No. 1
Material: InAs2HSe
Method: DFT, PBE
State: optimized geometry Values from VASP.

Properties
uncorrected energy: -3.380 eV per atom
volume: 112 Å³/cell

```
&SYSTEM
  ibrav = 0, nat = 5, ntyp = 4
/
ATOMIC_SPECIES
In 114.82 In.upf
As 74.92 As.upf
H 1.01 H.upf
Se 78.96 Se.upf
CELL_PARAMETERS angstrom
3.9265 0.0000 0.0000
0.0000 3.9265 0.0000
0.0000 0.0000 7.2896
ATOMIC_POSITIONS crystal
In 0.0000 0.0000 0.0000
As 0.0000 0.5000 0.5000
As 0.5000 0.0000 0.5000
H 0.5000 0.5000 0.5000
Se 0.5000 0.5000 0.0000
```


No. 2
Material: InAsHSe2
Method: DFT, PBE
State: optimized geometry Values from VASP.

Properties
uncorrected energy: -2.506 eV per atom
volume: 158 Å³/cell

```
&SYSTEM
  ibrav = 0, nat = 5, ntyp = 4
/
ATOMIC_SPECIES
In 114.82 In.upf
As 74.92 As.upf
H 1.01 H.upf
Se 78.96 Se.upf
CELL_PARAMETERS angstrom
5.4013 0.0000 0.0000
0.0000 5.4013 0.0000
0.0000 0.0000 5.4016
ATOMIC_POSITIONS crystal
In 0.0000 0.0000 0.0000
As 0.0000 0.0000 0.5000
H 0.5000 0.5000 0.5000
Se 0.0000 0.5000 0.0000
Se 0.5000 0.0000 0.0000
```


No. 3
Material: InAsHSe2
Method: DFT, PBE
State: optimized geometry Values from VASP.

Properties
uncorrected energy: -3.200 eV per atom
volume: 93 Å³/cell

```
&SYSTEM
  ibrav = 0, nat = 5, ntyp = 4
/
ATOMIC_SPECIES
In 114.82 In.upf
As 74.92 As.upf
H 1.01 H.upf
Se 78.96 Se.upf
CELL_PARAMETERS angstrom
5.1214 0.0000 0.0000
0.0000 5.1214 0.0000
0.0000 0.0000 3.5329
ATOMIC_POSITIONS crystal
In 0.0000 0.0000 0.0000
As 0.5000 0.5000 0.0000
H 0.5000 0.5000 0.5000
Se 0.0000 0.5000 0.5000
Se 0.5000 0.0000 0.5000
```